# 1
Here is an optimized crystal structure of LaAuBr2 from Alexandria. Energies are from PBE.

a = 8.0614 Å, b = 8.0614 Å, c = 5.2305 Å
α = 108.76°, β = 108.76°, γ = 28.30°
Positions (direct):
La: 0.0000 0.0000 0.0000
Au: 0.5000 0.5000 0.5000
Br: 0.3488 0.3488 0.8501
Br: 0.6512 0.6512 0.1499

Calculated values
The calculation puts the final energy at -16.42 eV/f.u. The value obtained for the excess energy over the best structure of this formula in the dataset is 0.085 eV per atom. For the magnetic moment, the calculation gives 0.0 μB/f.u. Its volume is 38.00 Å³ per atom. The value obtained for the uncorrected formation energy is -1218 meV per atom.

# 2
Here is an optimized crystal structure of BiIrO2 from Alexandria. Energies are from PBE.

a = 7.6082 Å, b = 7.6082 Å, c = 7.6082 Å
α = 23.23°, β = 23.23°, γ = 23.23°
Positions (direct):
Bi: 0.0000 0.0000 0.0000
Ir: 0.5000 0.5000 0.5000
O: 0.4157 0.4157 0.4157
O: 0.5843 0.5843 0.5843

Calculated values
The calculation puts the final energy at -23.38 eV/f.u. The density of states at the Fermi level is 3.264 states/eV/cell. For the magnetic moment, the calculation gives 0.0 μB/f.u. Its volume is 15.03 Å³ per atom. The value obtained for the uncorrected formation energy is -180 meV per atom.

# 3
Here is an optimized crystal structure of LiCaY from Alexandria. Energies are from PBE.

a = 3.7359 Å, b = 3.7359 Å, c = 13.3898 Å
α = 90.00°, β = 90.00°, γ = 90.00°
Positions (direct):
Li: 0.2500 0.2500 0.0495
Li: 0.7500 0.7500 0.9505
Ca: 0.2500 0.2500 0.7845
Ca: 0.7500 0.7500 0.2155
Y: 0.2500 0.2500 0.4149
Y: 0.7500 0.7500 0.5851

Calculated values
The calculation puts the final energy at -10.27 eV/f.u. The density of states at the Fermi level is 5.825 states/eV/cell. The value obtained for the excess energy over the best structure of this formula in the dataset is 0.000 eV per atom. For the magnetic moment, the calculation gives 0.0 μB/f.u. Its volume is 31.15 Å³ per atom.

# 4
Here is an optimized crystal structure of Nb3CoSi from Alexandria. Energies are from PBE.

a = 4.5549 Å, b = 4.5549 Å, c = 4.5549 Å
α = 90.00°, β = 90.00°, γ = 90.00°
Positions (direct):
Nb: 0.0000 0.0000 0.5000
Nb: 0.0000 0.5000 0.0000
Nb: 0.5000 0.0000 0.0000
Co: 0.0000 0.0000 0.0000
Si: 0.5000 0.5000 0.5000

Calculated values
The calculation puts the final energy at -39.52 eV/f.u. The density of states at the Fermi level is 3.801 states/eV/cell. The value obtained for the excess energy over the best structure of this formula in the dataset is 0.000 eV per atom. For the magnetic moment, the calculation gives 0.0 μB/f.u. Its volume is 18.90 Å³ per atom. The value obtained for the uncorrected formation energy is 643 meV per atom.

# 5
Here is an optimized crystal structure of CeSc3Fe8 from Alexandria. Energies are from PBE.

a = 8.6498 Å, b = 8.6498 Å, c = 8.6498 Å
α = 33.42°, β = 33.42°, γ = 33.42°
Positions (direct):
Ce: 0.0000 0.0000 0.0000
Sc: 0.1268 0.1268 0.1268
Sc: 0.4999 0.4999 0.4999
Sc: 0.6228 0.6228 0.6228
Fe: 0.0618 0.0618 0.5583
Fe: 0.0618 0.5583 0.0618
Fe: 0.0655 0.5640 0.5640
Fe: 0.3119 0.3119 0.3119
Fe: 0.5583 0.0618 0.0618
Fe: 0.5640 0.0655 0.5640
Fe: 0.5640 0.5640 0.0655
Fe: 0.8130 0.8130 0.8130

Calculated values
The calculation puts the final energy at -95.02 eV/f.u. The density of states at the Fermi level is 13.544 states/eV/cell. For the magnetic moment, the calculation gives 12.2 μB/f.u. Its volume is 14.57 Å³ per atom.

# 6
Here is an optimized crystal structure of ZnIn3Pt from Alexandria. Energies are from PBE.

a = 5.0460 Å, b = 5.0460 Å, c = 5.0460 Å
α = 90.00°, β = 90.00°, γ = 90.00°
Positions (direct):
Zn: 0.0000 0.0000 0.0000
In: 0.0000 0.0000 0.5000
In: 0.0000 0.5000 0.0000
In: 0.5000 0.0000 0.0000
Pt: 0.5000 0.5000 0.5000

Calculated values
The calculation puts the final energy at -13.01 eV/f.u. The density of states at the Fermi level is 3.264 states/eV/cell. The value obtained for the excess energy over the best structure of this formula in the dataset is 0.555 eV per atom. For the magnetic moment, the calculation gives 0.0 μB/f.u. Its volume is 25.70 Å³ per atom.

# 7
Here is an optimized crystal structure of ZrTa2Ti2 from Alexandria. Energies are from PBE.

a = 7.9155 Å, b = 7.9155 Å, c = 3.0843 Å
α = 90.00°, β = 90.00°, γ = 90.00°
Positions (direct):
Zr: 0.0000 0.0000 0.0000
Zr: 0.5000 0.5000 0.0000
Ta: 0.1455 0.3545 0.0000
Ta: 0.3545 0.8545 0.0000
Ta: 0.6455 0.1455 0.0000
Ta: 0.8545 0.6455 0.0000
Ti: 0.1439 0.6439 0.5000
Ti: 0.3561 0.1439 0.5000
Ti: 0.6439 0.8561 0.5000
Ti: 0.8561 0.3561 0.5000

Calculated values
The calculation puts the final energy at -46.80 eV/f.u. The density of states at the Fermi level is 9.831 states/eV/cell. The value obtained for the excess energy over the best structure of this formula in the dataset is 0.033 eV per atom. For the magnetic moment, the calculation gives 0.0 μB/f.u. Its volume is 19.32 Å³ per atom.

# 8
Here is an optimized crystal structure of CePuZn2 from Alexandria. Energies are from PBE.

a = 5.0870 Å, b = 5.0870 Å, c = 5.0870 Å
α = 60.00°, β = 60.00°, γ = 60.00°
Positions (direct):
Ce: 0.0000 0.0000 0.0000
Pu: 0.5000 0.5000 0.5000
Zn: 0.2500 0.2500 0.2500
Zn: 0.7500 0.7500 0.7500

Calculated values
The calculation puts the final energy at -23.26 eV/f.u. The density of states at the Fermi level is 10.350 states/eV/cell. The value obtained for the excess energy over the best structure of this formula in the dataset is 0.056 eV per atom. For the magnetic moment, the calculation gives 6.9 μB/f.u. Its volume is 23.27 Å³ per atom.